DFT (PBE) results for Pr3Co after structural relaxation.

Output
N(E_F) = 5.16 states/eV/f.u.
ΔE_f = 0.2190 eV/atom
M_tot = 0.4 Bohr magnetons per cell
VASP energy = -5.142 eV per atom

a = 3.6645 Å, b = 3.5384 Å, c = 9.4751 Å
α = 90.00°, β = 90.00°, γ = 90.00°
Each line ends with the local moment (μB).
Fractional positions:
Co 0.0000 0.0000 0.9794  0.40
Pr 0.5000 0.0000 0.7648  -0.02
Pr 0.0000 0.5000 0.4663  0.05
Pr 0.5000 0.5000 0.1228  -0.04